1.
Computed, not measured: a relaxed structure of RbTbErTe3 at the GGA-PBE level of DFT.

Lattice parameters (Å, degrees): 8.722 8.722 11.894 90.00 90.00 148.87
Sites, in units of the cell vectors:
Rb (0.245, 0.755, 0.750)
Rb (0.755, 0.245, 0.250)
Tb (0.500, 0.500, 0.000)
Tb (0.500, 0.500, 0.500)
Er (0.035, 0.965, 0.250)
Er (0.965, 0.035, 0.750)
Te (0.126, 0.874, 0.044)
Te (0.126, 0.874, 0.456)
Te (0.431, 0.569, 0.250)
Te (0.569, 0.431, 0.750)
Te (0.874, 0.126, 0.544)
Te (0.874, 0.126, 0.956)

Calculated values
The value obtained for the spin magnetization is 0.07 μB per formula unit. The volume comes out at 39.0 Å³ per atom. As for the space group: Cmcm, No. 63.


2.
Computed, not measured: a relaxed structure of InAgAs2 at the GGA-PBE level of DFT.

Lattice parameters (Å, degrees): 4.896 4.896 4.896 60.00 60.00 60.00
Sites, in units of the cell vectors:
In (0.000, 0.000, 0.000)
Ag (0.250, 0.250, 0.250)
As (0.500, 0.500, 0.500)
As (0.750, 0.750, 0.750)

Calculated values
The volume comes out at 20.7 Å³ per atom. As for the space group: F-43m, No. 216.


3.
Computed, not measured: a relaxed structure of Pr2GdMg3Zn2Hg at the GGA-PBE level of DFT.

Lattice parameters (Å, degrees): 4.686 7.415 7.415 120.22 90.00 90.00
Sites, in units of the cell vectors:
Pr (0.000, 0.212, 0.788)
Pr (0.000, 0.788, 0.212)
Gd (0.000, 0.359, 0.359)
Mg (0.500, 0.029, 0.029)
Mg (0.500, 0.541, 0.783)
Mg (0.500, 0.783, 0.541)
Zn (0.500, 0.123, 0.451)
Zn (0.500, 0.451, 0.123)
Hg (0.000, 0.779, 0.779)

Calculated values
The value obtained for the spin magnetization is 0.01 μB per formula unit. The volume comes out at 24.7 Å³ per atom. As for the space group: Amm2, No. 38.


4.
Computed, not measured: a relaxed structure of TlInAg2Se4 at the GGA-PBE level of DFT.

Lattice parameters (Å, degrees): 7.405 7.405 7.405 129.84 129.84 73.65
Sites, in units of the cell vectors:
Tl (0.000, 0.000, 0.000)
In (0.750, 0.250, 0.500)
Ag (0.250, 0.750, 0.500)
Ag (0.500, 0.500, 0.000)
Se (0.125, 0.128, 0.509)
Se (0.384, 0.875, 0.003)
Se (0.619, 0.616, 0.491)
Se (0.872, 0.381, 0.997)

Calculated values
The volume comes out at 29.2 Å³ per atom. As for the space group: I-4, No. 82.


5.
Computed, not measured: a relaxed structure of Dy2Mg2Cu3Ag at the GGA-PBE level of DFT.

Lattice parameters (Å, degrees): 4.743 4.742 6.765 90.00 90.01 90.00
Sites, in units of the cell vectors:
Dy (0.000, 0.000, 0.000)
Dy (0.493, 0.500, 0.476)
Mg (0.496, 0.500, 0.992)
Mg (0.997, 0.000, 0.484)
Cu (0.501, 0.000, 0.238)
Cu (0.501, 0.000, 0.738)
Cu (0.992, 0.500, 0.238)
Ag (0.992, 0.500, 0.738)

Calculated values
The value obtained for the spin magnetization is 0.00 μB per formula unit. The volume comes out at 19.0 Å³ per atom. As for the space group: Pm, No. 6.


6.
Computed, not measured: a relaxed structure of NaTeIr at the GGA-PBE level of DFT.

Lattice parameters (Å, degrees): 4.486 4.486 4.486 60.00 60.00 60.00
Sites, in units of the cell vectors:
Na (0.000, 0.000, 0.000)
Te (0.250, 0.250, 0.250)
Ir (0.750, 0.750, 0.750)

Calculated values
The value obtained for the spin magnetization is 0.00 μB per formula unit. The volume comes out at 21.3 Å³ per atom. As for the space group: F-43m, No. 216.


7.
Computed, not measured: a relaxed structure of BaLaHgAu at the GGA-PBE level of DFT.

Lattice parameters (Å, degrees): 5.567 5.567 5.567 60.00 60.00 60.00
Sites, in units of the cell vectors:
Ba (0.000, 0.000, 0.000)
La (0.500, 0.500, 0.500)
Hg (0.750, 0.750, 0.750)
Au (0.250, 0.250, 0.250)

Calculated values
The value obtained for the spin magnetization is 0.00 μB per formula unit. The volume comes out at 30.5 Å³ per atom. As for the space group: F-43m, No. 216.


| no. | total energy (eV/atom) |
| --- | --- |
| 1 | -4.48 |
| 2 | -3.42 |
| 3 | -2.72 |
| 4 | -3.40 |
| 5 | -3.51 |
| 6 | -3.65 |
| 7 | -3.14 |